Record 1
Entry from Alexandria via LeMat-Bulk: TlIr2Rh at its PBEsol-relaxed geometry (meta-GGA SCAN).

```
data_TlIr2Rh
_chemical_formula_sum 'Tl1 Ir2 Rh1'
_space_group_name_H-M_alt 'P 1'
_space_group_IT_number 1
_space_group_name_Hall 'P 1'
_cell_length_a 2.847
_cell_length_b 4.739
_cell_length_c 4.944
_cell_angle_alpha 99.76
_cell_angle_beta 90.00
_cell_angle_gamma 107.48
loop_
_atom_site_label
_atom_site_type_symbol
_atom_site_fract_x
_atom_site_fract_y
_atom_site_fract_z
Ir1 Ir 0.006 0.012 0.037
Ir2 Ir 0.749 0.499 0.238
Rh1 Rh 0.495 0.991 0.487
Tl1 Tl 0.249 0.499 0.738
```

Space-group type: No. 8
Formation enthalpy at 0 K: 376 meV/atom
ΔE to the lowest computed polymorph: 48 meV/atom
Total energy: -61.7056 eV/atom
Total magnetization: 0.0 μB/f.u.

Record 2
Entry from Alexandria via LeMat-Bulk: TlIr2Rh at its PBEsol-relaxed geometry (meta-GGA SCAN).

```
data_TlIr2Rh
_chemical_formula_sum 'Tl1 Ir2 Rh1'
_space_group_name_H-M_alt 'P 1'
_space_group_IT_number 1
_space_group_name_Hall 'P 1'
_cell_length_a 2.826
_cell_length_b 2.826
_cell_length_c 7.844
_cell_angle_alpha 90.00
_cell_angle_beta 90.00
_cell_angle_gamma 90.00
loop_
_atom_site_label
_atom_site_type_symbol
_atom_site_fract_x
_atom_site_fract_y
_atom_site_fract_z
Ir1 Ir 0.000 0.000 0.025
Ir2 Ir 0.500 0.500 0.251
Rh1 Rh 0.000 0.000 0.479
Tl1 Tl 0.500 0.500 0.745
```

Space-group type: No. 99
Formation enthalpy at 0 K: 328 meV/atom
ΔE to the lowest computed polymorph: 0 meV/atom
Total energy: -61.7536 eV/atom
Total magnetization: 0.0 μB/f.u.

Record 3
Entry from Alexandria via LeMat-Bulk: TlIrRh at its PBEsol-relaxed geometry (meta-GGA SCAN).

```
data_TlIrRh
_chemical_formula_sum 'Tl1 Ir1 Rh1'
_space_group_name_H-M_alt 'P 1'
_space_group_IT_number 1
_space_group_name_Hall 'P 1'
_cell_length_a 2.868
_cell_length_b 3.902
_cell_length_c 4.964
_cell_angle_alpha 113.14
_cell_angle_beta 106.79
_cell_angle_gamma 90.00
loop_
_atom_site_label
_atom_site_type_symbol
_atom_site_fract_x
_atom_site_fract_y
_atom_site_fract_z
Ir1 Ir 0.010 0.010 0.020
Rh1 Rh 0.657 0.657 0.314
Tl1 Tl 0.333 0.333 0.666
```

Space-group type: No. 44
Formation enthalpy at 0 K: 536 meV/atom
Total energy: -58.5401 eV/atom
Total magnetization: 0.0 μB/f.u.

Record 4
Entry from Alexandria via LeMat-Bulk: IrRh2W at its PBEsol-relaxed geometry (meta-GGA SCAN).

```
data_IrRh2W
_chemical_formula_sum 'Ir1 Rh2 W1'
_space_group_name_H-M_alt 'P 1'
_space_group_IT_number 1
_space_group_name_Hall 'P 1'
_cell_length_a 3.844
_cell_length_b 3.844
_cell_length_c 4.677
_cell_angle_alpha 114.26
_cell_angle_beta 114.26
_cell_angle_gamma 90.00
loop_
_atom_site_label
_atom_site_type_symbol
_atom_site_fract_x
_atom_site_fract_y
_atom_site_fract_z
Ir1 Ir 0.250 0.750 0.500
Rh1 Rh 0.000 0.000 0.000
Rh2 Rh 0.750 0.250 0.500
W1 W 0.500 0.500 0.000
```

Space-group type: No. 119
Formation enthalpy at 0 K: -253 meV/atom
ΔE to the lowest computed polymorph: 26 meV/atom
Total energy: -52.3356 eV/atom
Total magnetization: 0.0 μB/f.u.

Record 5
Entry from Alexandria via LeMat-Bulk: IrRh2W at its PBEsol-relaxed geometry (meta-GGA SCAN).

```
data_IrRh2W
_chemical_formula_sum 'Ir1 Rh2 W1'
_space_group_name_H-M_alt 'P 1'
_space_group_IT_number 1
_space_group_name_Hall 'P 1'
_cell_length_a 4.332
_cell_length_b 4.332
_cell_length_c 4.332
_cell_angle_alpha 60.00
_cell_angle_beta 60.00
_cell_angle_gamma 60.00
loop_
_atom_site_label
_atom_site_type_symbol
_atom_site_fract_x
_atom_site_fract_y
_atom_site_fract_z
Ir1 Ir 0.000 0.000 0.000
Rh1 Rh 0.250 0.250 0.250
Rh2 Rh 0.750 0.750 0.750
W1 W 0.500 0.500 0.500
```

Space-group type: No. 225
Formation enthalpy at 0 K: 268 meV/atom
ΔE to the lowest computed polymorph: 547 meV/atom
Total energy: -51.8145 eV/atom
Total magnetization: 0.0 μB/f.u.

Record 6
Entry from Alexandria via LeMat-Bulk: IrRh2W at its PBEsol-relaxed geometry (meta-GGA SCAN).

```
data_IrRh2W
_chemical_formula_sum 'Ir1 Rh2 W1'
_space_group_name_H-M_alt 'P 1'
_space_group_IT_number 1
_space_group_name_Hall 'P 1'
_cell_length_a 4.332
_cell_length_b 4.332
_cell_length_c 4.332
_cell_angle_alpha 60.00
_cell_angle_beta 60.00
_cell_angle_gamma 60.00
loop_
_atom_site_label
_atom_site_type_symbol
_atom_site_fract_x
_atom_site_fract_y
_atom_site_fract_z
Ir1 Ir 0.500 0.500 0.500
Rh1 Rh 0.000 0.000 0.000
Rh2 Rh 0.750 0.750 0.750
W1 W 0.250 0.250 0.250
```

Space-group type: No. 216
Formation enthalpy at 0 K: 143 meV/atom
ΔE to the lowest computed polymorph: 422 meV/atom
Total energy: -51.9396 eV/atom
Total magnetization: 0.0 μB/f.u.

Record 7
Entry from Alexandria via LeMat-Bulk: IrRh2W at its PBEsol-relaxed geometry (meta-GGA SCAN).

```
data_IrRh2W
_chemical_formula_sum 'Ir1 Rh2 W1'
_space_group_name_H-M_alt 'P 1'
_space_group_IT_number 1
_space_group_name_Hall 'P 1'
_cell_length_a 2.719
_cell_length_b 2.719
_cell_length_c 9.000
_cell_angle_alpha 81.34
_cell_angle_beta 81.34
_cell_angle_gamma 60.00
loop_
_atom_site_label
_atom_site_type_symbol
_atom_site_fract_x
_atom_site_fract_y
_atom_site_fract_z
Ir1 Ir 0.250 0.250 0.252
Rh1 Rh 0.000 0.000 0.999
Rh2 Rh 0.750 0.750 0.748
W1 W 0.500 0.500 0.501
```

Space-group type: No. 160
Formation enthalpy at 0 K: -61 meV/atom
ΔE to the lowest computed polymorph: 218 meV/atom
Total energy: -52.1437 eV/atom
Total magnetization: 0.0 μB/f.u.

Record 8
Entry from Alexandria via LeMat-Bulk: IrRhW3 at its PBEsol-relaxed geometry (meta-GGA SCAN).

```
data_IrRhW3
_chemical_formula_sum 'Ir1 Rh1 W3'
_space_group_name_H-M_alt 'P 1'
_space_group_IT_number 1
_space_group_name_Hall 'P 1'
_cell_length_a 4.647
_cell_length_b 4.647
_cell_length_c 4.647
_cell_angle_alpha 90.00
_cell_angle_beta 90.00
_cell_angle_gamma 90.00
loop_
_atom_site_label
_atom_site_type_symbol
_atom_site_fract_x
_atom_site_fract_y
_atom_site_fract_z
Ir1 Ir 0.000 0.000 0.000
Rh1 Rh 0.500 0.500 0.500
W1 W 0.000 0.500 0.000
W2 W 0.000 0.000 0.500
W3 W 0.500 0.000 0.000
```

Space-group type: No. 221
Formation enthalpy at 0 K: 2110 meV/atom
Total energy: -60.6769 eV/atom
Total magnetization: 0.0 μB/f.u.

Record 9
Entry from Alexandria via LeMat-Bulk: Ir2RhW at its PBEsol-relaxed geometry (meta-GGA SCAN).

```
data_Ir2RhW
_chemical_formula_sum 'Ir2 Rh1 W1'
_space_group_name_H-M_alt 'P 1'
_space_group_IT_number 1
_space_group_name_Hall 'P 1'
_cell_length_a 3.822
_cell_length_b 3.853
_cell_length_c 3.853
_cell_angle_alpha 90.00
_cell_angle_beta 90.00
_cell_angle_gamma 90.00
loop_
_atom_site_label
_atom_site_type_symbol
_atom_site_fract_x
_atom_site_fract_y
_atom_site_fract_z
Ir1 Ir 0.000 0.000 0.500
Ir2 Ir 0.000 0.500 0.000
Rh1 Rh 0.500 0.500 0.500
W1 W 0.500 0.000 0.000
```

Space-group type: No. 123
Formation enthalpy at 0 K: -313 meV/atom
ΔE to the lowest computed polymorph: 0 meV/atom
Total energy: -61.7273 eV/atom
Total magnetization: 0.0 μB/f.u.

Record 10
Entry from Alexandria via LeMat-Bulk: Ir2RhW at its PBEsol-relaxed geometry (meta-GGA SCAN).

```
data_Ir2RhW
_chemical_formula_sum 'Ir2 Rh1 W1'
_space_group_name_H-M_alt 'P 1'
_space_group_IT_number 1
_space_group_name_Hall 'P 1'
_cell_length_a 4.351
_cell_length_b 4.351
_cell_length_c 4.351
_cell_angle_alpha 60.00
_cell_angle_beta 60.00
_cell_angle_gamma 60.00
loop_
_atom_site_label
_atom_site_type_symbol
_atom_site_fract_x
_atom_site_fract_y
_atom_site_fract_z
Ir1 Ir 0.250 0.250 0.250
Ir2 Ir 0.750 0.750 0.750
Rh1 Rh 0.000 0.000 0.000
W1 W 0.500 0.500 0.500
```

Space-group type: No. 225
Formation enthalpy at 0 K: 196 meV/atom
ΔE to the lowest computed polymorph: 509 meV/atom
Total energy: -61.2182 eV/atom
Total magnetization: 0.0 μB/f.u.

Record 11
Entry from Alexandria via LeMat-Bulk: IrRh2W at its PBEsol-relaxed geometry (meta-GGA SCAN).

```
data_IrRh2W
_chemical_formula_sum 'Ir1 Rh2 W1'
_space_group_name_H-M_alt 'P 1'
_space_group_IT_number 1
_space_group_name_Hall 'P 1'
_cell_length_a 3.818
_cell_length_b 3.818
_cell_length_c 3.852
_cell_angle_alpha 90.00
_cell_angle_beta 90.00
_cell_angle_gamma 90.00
loop_
_atom_site_label
_atom_site_type_symbol
_atom_site_fract_x
_atom_site_fract_y
_atom_site_fract_z
Ir1 Ir 0.000 0.000 0.500
Rh1 Rh 0.000 0.500 0.000
Rh2 Rh 0.500 0.000 0.000
W1 W 0.500 0.500 0.500
```

Space-group type: No. 123
Formation enthalpy at 0 K: -279 meV/atom
ΔE to the lowest computed polymorph: 0 meV/atom
Total energy: -52.3615 eV/atom
Total magnetization: 0.0 μB/f.u.

Record 12
Entry from Alexandria via LeMat-Bulk: Ir2RhW at its PBEsol-relaxed geometry (meta-GGA SCAN).

```
data_Ir2RhW
_chemical_formula_sum 'Ir2 Rh1 W1'
_space_group_name_H-M_alt 'P 1'
_space_group_IT_number 1
_space_group_name_Hall 'P 1'
_cell_length_a 3.863
_cell_length_b 3.863
_cell_length_c 4.688
_cell_angle_alpha 114.33
_cell_angle_beta 114.33
_cell_angle_gamma 90.00
loop_
_atom_site_label
_atom_site_type_symbol
_atom_site_fract_x
_atom_site_fract_y
_atom_site_fract_z
Ir1 Ir 0.750 0.250 0.500
Ir2 Ir 0.250 0.750 0.500
Rh1 Rh 0.500 0.500 0.000
W1 W 0.000 0.000 0.000
```

Space-group type: No. 139
Formation enthalpy at 0 K: -297 meV/atom
ΔE to the lowest computed polymorph: 16 meV/atom
Total energy: -61.7113 eV/atom
Total magnetization: 0.0 μB/f.u.

Record 13
Entry from Alexandria via LeMat-Bulk: YIrRh2 at its PBEsol-relaxed geometry (meta-GGA SCAN).

```
data_YIrRh2
_chemical_formula_sum 'Y1 Ir1 Rh2'
_space_group_name_H-M_alt 'P 1'
_space_group_IT_number 1
_space_group_name_Hall 'P 1'
_cell_length_a 3.935
_cell_length_b 4.011
_cell_length_c 4.011
_cell_angle_alpha 90.00
_cell_angle_beta 90.00
_cell_angle_gamma 90.00
loop_
_atom_site_label
_atom_site_type_symbol
_atom_site_fract_x
_atom_site_fract_y
_atom_site_fract_z
Ir1 Ir 0.500 0.000 0.000
Rh1 Rh 0.000 0.000 0.500
Rh2 Rh 0.000 0.500 0.000
Y1 Y 0.500 0.500 0.500
```

Space-group type: No. 123
Formation enthalpy at 0 K: -523 meV/atom
ΔE to the lowest computed polymorph: 0 meV/atom
Total energy: -42.1441 eV/atom
Total magnetization: 0.0 μB/f.u.

Record 14
Entry from Alexandria via LeMat-Bulk: Y2IrRh at its PBEsol-relaxed geometry (meta-GGA SCAN).

```
data_Y2IrRh
_chemical_formula_sum 'Y2 Ir1 Rh1'
_space_group_name_H-M_alt 'P 1'
_space_group_IT_number 1
_space_group_name_Hall 'P 1'
_cell_length_a 3.244
_cell_length_b 4.504
_cell_length_c 5.565
_cell_angle_alpha 90.00
_cell_angle_beta 90.00
_cell_angle_gamma 90.00
loop_
_atom_site_label
_atom_site_type_symbol
_atom_site_fract_x
_atom_site_fract_y
_atom_site_fract_z
Ir1 Ir 0.000 0.000 0.431
Rh1 Rh 0.500 0.500 0.816
Y1 Y 0.000 0.000 0.928
Y2 Y 0.500 0.500 0.324
```

Space-group type: No. 25
Formation enthalpy at 0 K: -627 meV/atom
ΔE to the lowest computed polymorph: 370 meV/atom
Total energy: -40.7659 eV/atom
Total magnetization: 0.0 μB/f.u.

Record 15
Entry from Alexandria via LeMat-Bulk: YIrRh2 at its PBEsol-relaxed geometry (meta-GGA SCAN).

```
data_YIrRh2
_chemical_formula_sum 'Y1 Ir1 Rh2'
_space_group_name_H-M_alt 'P 1'
_space_group_IT_number 1
_space_group_name_Hall 'P 1'
_cell_length_a 2.879
_cell_length_b 2.879
_cell_length_c 7.746
_cell_angle_alpha 90.00
_cell_angle_beta 90.00
_cell_angle_gamma 90.00
loop_
_atom_site_label
_atom_site_type_symbol
_atom_site_fract_x
_atom_site_fract_y
_atom_site_fract_z
Ir1 Ir 0.500 0.500 0.779
Rh1 Rh 0.000 0.000 0.000
Rh2 Rh 0.500 0.500 0.224
Y1 Y 0.000 0.000 0.497
```

Space-group type: No. 99
Formation enthalpy at 0 K: -167 meV/atom
ΔE to the lowest computed polymorph: 356 meV/atom
Total energy: -41.7878 eV/atom
Total magnetization: 0.0 μB/f.u.

Record 16
Entry from Alexandria via LeMat-Bulk: Y2IrRh at its PBEsol-relaxed geometry (meta-GGA SCAN).

```
data_Y2IrRh
_chemical_formula_sum 'Y2 Ir1 Rh1'
_space_group_name_H-M_alt 'P 1'
_space_group_IT_number 1
_space_group_name_Hall 'P 1'
_cell_length_a 3.303
_cell_length_b 4.833
_cell_length_c 4.833
_cell_angle_alpha 90.76
_cell_angle_beta 90.00
_cell_angle_gamma 90.00
loop_
_atom_site_label
_atom_site_type_symbol
_atom_site_fract_x
_atom_site_fract_y
_atom_site_fract_z
Y1 Y 0.000 0.500 0.000
Y2 Y 0.000 0.000 0.500
Ir1 Ir 0.500 0.000 0.000
Rh1 Rh 0.500 0.500 0.500
```

Space-group type: No. 65
Formation enthalpy at 0 K: -981 meV/atom
ΔE to the lowest computed polymorph: 16 meV/atom
Total energy: -41.1202 eV/atom
Total magnetization: 0.0 μB/f.u.